# 1
DFT (PBE-GGA) results for a geometry-optimized CaIn3Ag8 structure.

polymorph energy (0 for the lowest one) = 0.0 meV per atom

a = 9.810 Å, b = 9.810 Å, c = 9.810 Å
α = 33.15°, β = 33.15°, γ = 33.15°
Sites, in units of the cell vectors:
Ca 0.000 0.000 0.000
In 0.126 0.126 0.126
In 0.503 0.503 0.503
In 0.625 0.625 0.625
Ag 0.063 0.063 0.562
Ag 0.063 0.562 0.063
Ag 0.064 0.563 0.563
Ag 0.313 0.313 0.313
Ag 0.562 0.063 0.063
Ag 0.563 0.064 0.563
Ag 0.563 0.563 0.064
Ag 0.813 0.813 0.813



# 2
DFT (PBE-GGA) results for a geometry-optimized Ca12InAg6 structure.

a = 9.133 Å, b = 9.133 Å, c = 9.133 Å
α = 109.47°, β = 109.47°, γ = 109.47°
Sites, in units of the cell vectors:
Ca 0.108 0.290 0.819
Ca 0.181 0.471 0.290
Ca 0.181 0.892 0.710
Ca 0.290 0.181 0.471
Ca 0.290 0.819 0.108
Ca 0.471 0.290 0.181
Ca 0.529 0.710 0.819
Ca 0.710 0.181 0.892
Ca 0.710 0.819 0.529
Ca 0.819 0.108 0.290
Ca 0.819 0.529 0.710
Ca 0.892 0.710 0.181
In 0.000 0.000 0.000
Ag 0.131 0.500 0.631
Ag 0.369 0.869 0.500
Ag 0.500 0.369 0.869
Ag 0.500 0.631 0.131
Ag 0.631 0.131 0.500
Ag 0.869 0.500 0.369



# 3
DFT (PBE-GGA) results for a geometry-optimized Ca3In2Ag6 structure.

a = 8.766 Å, b = 8.766 Å, c = 8.766 Å
α = 109.47°, β = 109.47°, γ = 109.47°
Sites, in units of the cell vectors:
Ca 0.000 0.278 0.278
Ca 0.000 0.722 0.722
Ca 0.278 0.000 0.278
Ca 0.278 0.278 0.000
Ca 0.722 0.000 0.722
Ca 0.722 0.722 0.000
In 0.000 0.000 0.500
In 0.000 0.500 0.000
In 0.500 0.000 0.000
In 0.500 0.500 0.500
Ag 0.000 0.342 0.658
Ag 0.000 0.658 0.342
Ag 0.316 0.658 0.658
Ag 0.342 0.000 0.658
Ag 0.342 0.342 0.684
Ag 0.342 0.658 0.000
Ag 0.342 0.684 0.342
Ag 0.658 0.000 0.342
Ag 0.658 0.316 0.658
Ag 0.658 0.342 0.000
Ag 0.658 0.658 0.316
Ag 0.684 0.342 0.342



# 4
DFT (PBE-GGA) results for a geometry-optimized CaIn2Ag structure.

a = 5.931 Å, b = 7.612 Å, c = 4.824 Å
α = 90.00°, β = 90.00°, γ = 90.00°
Sites, in units of the cell vectors:
Ca 0.000 0.000 0.000
Ca 0.500 0.500 0.000
In 0.000 0.303 0.500
In 0.000 0.697 0.500
In 0.500 0.197 0.500
In 0.500 0.803 0.500
Ag 0.000 0.500 0.000
Ag 0.500 0.000 0.000



# 5
DFT (PBE-GGA) results for a geometry-optimized Ca3In2Ag structure.

polymorph energy (0 for the lowest one) = 0.0 meV per atom

a = 5.349 Å, b = 16.063 Å, c = 3.852 Å
α = 90.00°, β = 90.00°, γ = 90.00°
Sites, in units of the cell vectors:
Ca 0.000 0.000 0.000
Ca 0.000 0.342 0.000
Ca 0.000 0.658 0.000
Ca 0.500 0.158 0.000
Ca 0.500 0.500 0.000
Ca 0.500 0.842 0.000
In 0.000 0.174 0.500
In 0.000 0.826 0.500
In 0.500 0.326 0.500
In 0.500 0.674 0.500
Ag 0.000 0.500 0.500
Ag 0.500 0.000 0.500



# 6
DFT (PBE-GGA) results for a geometry-optimized Ca4In5Ag2 structure.

a = 7.882 Å, b = 3.651 Å, c = 10.223 Å
α = 90.00°, β = 94.03°, γ = 90.00°
Sites, in units of the cell vectors:
Ca 0.169 0.000 0.378
Ca 0.261 0.000 0.944
Ca 0.739 0.000 0.056
Ca 0.831 0.000 0.622
In 0.190 0.500 0.662
In 0.438 0.500 0.199
In 0.500 0.500 0.500
In 0.562 0.500 0.801
In 0.810 0.500 0.338
Ag 0.062 0.500 0.135
Ag 0.938 0.500 0.865



# 7
DFT (PBE-GGA) results for a geometry-optimized CaIn6Ag structure.

a = 7.706 Å, b = 10.961 Å, c = 4.897 Å
α = 90.00°, β = 90.00°, γ = 90.00°
Sites, in units of the cell vectors:
Ca 0.000 0.000 0.000
Ca 0.500 0.500 0.000
In 0.000 0.216 0.500
In 0.000 0.784 0.500
In 0.203 0.500 0.500
In 0.250 0.250 0.000
In 0.250 0.750 0.000
In 0.297 0.000 0.500
In 0.500 0.284 0.500
In 0.500 0.716 0.500
In 0.703 0.000 0.500
In 0.750 0.250 0.000
In 0.750 0.750 0.000
In 0.797 0.500 0.500
Ag 0.000 0.500 0.000
Ag 0.500 0.000 0.000



# 8
DFT (PBE-GGA) results for a geometry-optimized Ca2InAg2 structure.

a = 3.875 Å, b = 3.875 Å, c = 18.164 Å
α = 90.00°, β = 90.00°, γ = 90.00°
Sites, in units of the cell vectors:
Ca 0.000 0.000 0.109
Ca 0.000 0.000 0.891
Ca 0.500 0.500 0.391
Ca 0.500 0.500 0.609
In 0.000 0.000 0.500
In 0.500 0.500 0.000
Ag 0.000 0.500 0.250
Ag 0.000 0.500 0.750
Ag 0.500 0.000 0.250
Ag 0.500 0.000 0.750



| no. | N(E_F) (states/eV/cell) | ρ (g/cm³) | formation energy (meV per atom) |
| --- | --- | --- | --- |
| 1 | 5.8 | 8.24 | -86.8 |
| 2 | 12.8 | 3.52 | -247.6 |
| 3 | 14.2 | 6.39 | -252.8 |
| 4 | 2.8 | 5.76 | -180.8 |
| 5 | 6.5 | 4.59 | -416.5 |
| 6 | 4.6 | 5.38 | -362.9 |
| 7 | 4.1 | 6.72 | -126.7 |
| 8 | 5.0 | 5.00 | -222.7 |